Crystalline YMg8Sc2 at its relaxed geometry. Source: Alexandria, functional PBE. Values from VASP.

Properties
Crystal system ... monoclinic
ρ ... 2.36 g/cm3
DFT formation energy ... -0.01 eV/atom
SG ... C2/m, No. 12

The structure in Quantum ESPRESSO input format:
```
&SYSTEM
  ibrav = 0, nat = 11, ntyp = 3
/
ATOMIC_SPECIES
Y 88.91 Y.upf
Mg 24.30 Mg.upf
Sc 44.96 Sc.upf
CELL_PARAMETERS angstrom
7.5379 -2.5349 0.0000
7.5379 2.5349 0.0000
-3.5203 0.0000 6.8729
ATOMIC_POSITIONS angstrom
Y 0.0000 0.0000 0.0000
Mg -0.2432 0.0000 3.2206
Mg -0.3985 0.0000 6.2305
Mg 2.5331 0.0000 5.6281
Mg 5.9835 0.0000 1.8868
Mg 5.5720 0.0000 4.9861
Mg 9.0225 0.0000 1.2448
Mg 11.9541 0.0000 0.6424
Mg 11.7988 0.0000 3.6523
Sc 2.7870 0.0000 2.5652
Sc 8.7686 0.0000 4.3078
```